! HfZnGeC2 PBE-GGA relaxed; values from VASP
&SYSTEM
  ibrav = 0, nat = 5, ntyp = 4
/
ATOMIC_SPECIES
C 12.01 C.upf
Ge 72.64 Ge.upf
Hf 178.49 Hf.upf
Zn 65.41 Zn.upf
CELL_PARAMETERS angstrom
-2.821 1.199 2.408
2.674 -1.894 4.076
1.806 3.429 0.409
ATOMIC_POSITIONS crystal
C 0.000 0.000 0.500
C 0.500 0.000 0.000
Ge 0.500 0.500 0.500
Hf 0.000 0.500 0.000
Zn 0.000 0.000 0.000
! VASP energy in eV/atom: -5.0526
! Formation enthalpy at 0 K in kJ/mol of atoms: 174.2
! Density of states at the Fermi level in states/eV per cell: 2.73
! Crystal system: tetragonal

=====

! PmInGa4 PBE-GGA relaxed; values from VASP
&SYSTEM
  ibrav = 0, nat = 6, ntyp = 3
/
ATOMIC_SPECIES
In 114.82 In.upf
Ga 69.72 Ga.upf
Pm 145.00 Pm.upf
CELL_PARAMETERS angstrom
5.648 0.000 0.000
2.824 4.892 0.000
2.824 1.631 4.612
ATOMIC_POSITIONS crystal
In 0.000 0.000 0.000
Ga 0.625 0.625 0.125
Ga 0.625 0.125 0.625
Ga 0.625 0.625 0.625
Ga 0.125 0.625 0.625
Pm 0.250 0.250 0.250
! Distance to the lowest polymorph of the same formula in meV/atom: 47.5
! VASP energy in eV/atom: -3.5133
! Formation enthalpy at 0 K in kJ/mol of atoms: -23.9
! Density of states at the Fermi level in states/eV per cell: 4.64
! Crystal system: cubic

=====

! TaInRh2 PBE-GGA relaxed; values from VASP
&SYSTEM
  ibrav = 0, nat = 4, ntyp = 3
/
ATOMIC_SPECIES
In 114.82 In.upf
Rh 102.91 Rh.upf
Ta 180.95 Ta.upf
CELL_PARAMETERS angstrom
3.627 0.000 0.000
0.000 2.991 -0.003
0.000 3.001 6.123
ATOMIC_POSITIONS crystal
In 0.500 0.750 0.750
Rh 0.000 0.984 0.016
Rh 0.000 0.516 0.484
Ta 0.500 0.250 0.250
! VASP energy in eV/atom: -7.7791
! Formation enthalpy at 0 K in kJ/mol of atoms: -44.0
! Density of states at the Fermi level in states/eV per cell: 2.96
! Crystal system: orthorhombic

=====

! Be2Ga2Hg PBE-GGA relaxed; values from VASP
&SYSTEM
  ibrav = 0, nat = 5, ntyp = 3
/
ATOMIC_SPECIES
Be 9.01 Be.upf
Hg 200.59 Hg.upf
Ga 69.72 Ga.upf
CELL_PARAMETERS angstrom
-0.798 4.195 -2.896
-4.948 -1.343 -0.582
-1.064 2.331 3.670
ATOMIC_POSITIONS crystal
Be 0.500 0.500 0.500
Be 0.000 0.000 0.500
Hg 0.000 0.000 0.000
Ga 0.000 0.500 0.000
Ga 0.500 0.000 0.000
! Distance to the lowest polymorph of the same formula in meV/atom: 747.8
! VASP energy in eV/atom: -1.6631
! Formation enthalpy at 0 K in kJ/mol of atoms: 106.0
! Density of states at the Fermi level in states/eV per cell: 1.39
! Crystal system: tetragonal

=====

What did the second record say?
! PmInGa4 PBE-GGA relaxed; values from VASP
&SYSTEM
  ibrav = 0, nat = 6, ntyp = 3
/
ATOMIC_SPECIES
In 114.82 In.upf
Ga 69.72 Ga.upf
Pm 145.00 Pm.upf
CELL_PARAMETERS angstrom
5.648 0.000 0.000
2.824 4.892 0.000
2.824 1.631 4.612
ATOMIC_POSITIONS crystal
In 0.000 0.000 0.000
Ga 0.625 0.625 0.125
Ga 0.625 0.125 0.625
Ga 0.625 0.625 0.625
Ga 0.125 0.625 0.625
Pm 0.250 0.250 0.250
! Distance to the lowest polymorph of the same formula in meV/atom: 47.5
! VASP energy in eV/atom: -3.5133
! Formation enthalpy at 0 K in kJ/mol of atoms: -23.9
! Density of states at the Fermi level in states/eV per cell: 4.64
! Crystal system: cubic

=====

- Which value of formation enthalpy at 0 K does entry 2 give?
  -23.9 kJ/mol of atoms

=====

- Which of these has the highest density of states at the Fermi level?
  PmInGa4

=====

- Which of these has the highest VASP energy?
  Be2Ga2Hg